#P
The following is a PBE calculation of Pr5Er2Tm12 after structural relaxation, from Alexandria.

Cell lengths 6.1454, 9.4016, 10.6427 Å; angles 101.06, 95.64, 90.01 degrees
Sites, in units of the cell vectors:
Pr: 0.0000 0.0000 0.0000
Pr: 0.1585 0.6314 0.9460
Pr: 0.2630 0.0535 0.5792
Pr: 0.7370 0.9465 0.4208
Pr: 0.8415 0.3686 0.0540
Er: 0.4193 0.6811 0.5263
Er: 0.5807 0.3189 0.4737
Tm: 0.0553 0.2136 0.3174
Tm: 0.1037 0.4220 0.6304
Tm: 0.2115 0.8399 0.2631
Tm: 0.3181 0.2631 0.8950
Tm: 0.3697 0.4732 0.2127
Tm: 0.4746 0.8936 0.8414
Tm: 0.5254 0.1064 0.1586
Tm: 0.6303 0.5268 0.7873
Tm: 0.6819 0.7369 0.1050
Tm: 0.7885 0.1601 0.7369
Tm: 0.8963 0.5780 0.3696
Tm: 0.9447 0.7864 0.6826

Values from the calculation:
Volume: 31.6 Å³ per atom
Crystal system: triclinic
Symmetry: P-1 (2)
Spin magnetization: 0.00 μB per atom

=====

#Q
The following is a PBE calculation of Pr5Er2Tm12 after structural relaxation, from Alexandria.

Cell lengths 9.7861, 9.7861, 10.3331 Å; angles 109.77, 109.77, 42.01 degrees
Sites, in units of the cell vectors:
Pr: 0.0000 0.0000 0.0000
Pr: 0.1872 0.1872 0.6806
Pr: 0.3183 0.3183 0.2899
Pr: 0.6817 0.6817 0.7101
Pr: 0.8128 0.8128 0.3194
Er: 0.2722 0.7278 0.5000
Er: 0.7278 0.2722 0.5000
Tm: 0.0243 0.0243 0.7454
Tm: 0.0900 0.5847 0.9801
Tm: 0.0897 0.5955 0.6326
Tm: 0.4045 0.9103 0.3674
Tm: 0.4153 0.9100 0.0199
Tm: 0.4984 0.4984 0.8240
Tm: 0.5016 0.5016 0.1760
Tm: 0.5847 0.0900 0.9801
Tm: 0.5955 0.0897 0.6326
Tm: 0.9103 0.4045 0.3674
Tm: 0.9100 0.4153 0.0199
Tm: 0.9757 0.9757 0.2546

Values from the calculation:
Volume: 32.5 Å³ per atom
Crystal system: monoclinic
Symmetry: C2/m (12)
Spin magnetization: 0.00 μB per atom

=====

Least stable: #Q

=====

#P
The following is a PBE calculation of Pr3Er4Tm4 after structural relaxation, from Alexandria.

Cell lengths 10.5547, 6.6352, 6.6352 Å; angles 50.69, 90.00, 90.00 degrees
Sites, in units of the cell vectors:
Pr: 0.0000 0.0000 0.0000
Pr: 0.2915 0.1528 0.1528
Pr: 0.7085 0.1528 0.1528
Er: 0.0000 0.7009 0.7009
Er: 0.2159 0.4960 0.4960
Er: 0.5000 0.6353 0.6353
Er: 0.7841 0.4960 0.4960
Tm: 0.0000 0.3025 0.3025
Tm: 0.2952 0.8482 0.8482
Tm: 0.5000 0.3618 0.3618
Tm: 0.7048 0.8482 0.8482

Values from the calculation:
Volume: 32.7 Å³ per atom
Crystal system: orthorhombic
Symmetry: Amm2 (38)
Spin magnetization: 0.00 μB per atom

=====

#Q
The following is a PBE calculation of Pr3Er4Tm4 after structural relaxation, from Alexandria.

Cell lengths 3.5638, 5.0076, 19.8292 Å; angles 97.24, 95.15, 90.01 degrees
Sites, in units of the cell vectors:
Pr: 0.0000 0.0000 0.0000
Pr: 0.3625 0.3631 0.7253
Pr: 0.6375 0.6369 0.2747
Er: 0.1834 0.1832 0.3672
Er: 0.4537 0.4538 0.9073
Er: 0.5463 0.5462 0.0927
Er: 0.8166 0.8168 0.6328
Tm: 0.0911 0.0907 0.1817
Tm: 0.2723 0.2724 0.5443
Tm: 0.7277 0.7276 0.4557
Tm: 0.9089 0.9093 0.8183

Values from the calculation:
Volume: 31.8 Å³ per atom
Crystal system: triclinic
Symmetry: P-1 (2)
Spin magnetization: 0.00 μB per atom

=====

Least stable: #P

=====

#P
The following is a PBE calculation of Pr7Er12Tm after structural relaxation, from Alexandria.

Cell lengths 9.7763, 9.7763, 9.7763 Å; angles 109.47, 109.47, 109.47 degrees
Sites, in units of the cell vectors:
Pr: 0.0000 0.0000 0.5000
Pr: 0.0000 0.5000 0.0000
Pr: 0.0000 0.5000 0.5000
Pr: 0.5000 0.0000 0.0000
Pr: 0.5000 0.0000 0.5000
Pr: 0.5000 0.5000 0.0000
Pr: 0.5000 0.5000 0.5000
Er: 0.0000 0.2438 0.7562
Er: 0.0000 0.7562 0.2438
Er: 0.2438 0.0000 0.7562
Er: 0.2438 0.2438 0.4877
Er: 0.2438 0.4877 0.2438
Er: 0.2438 0.7562 0.0000
Er: 0.4877 0.2438 0.2438
Er: 0.5123 0.7562 0.7562
Er: 0.7562 0.0000 0.2438
Er: 0.7562 0.2438 0.0000
Er: 0.7562 0.5123 0.7562
Er: 0.7562 0.7562 0.5123
Tm: 0.0000 0.0000 0.0000

Values from the calculation:
Volume: 36.0 Å³ per atom
Crystal system: cubic
Symmetry: Im-3m (229)
Spin magnetization: 0.00 μB per atom

=====

#Q
The following is a PBE calculation of Pr7Er12Tm after structural relaxation, from Alexandria.

Cell lengths 8.7784, 8.7784, 8.7784 Å; angles 85.88, 85.88, 85.88 degrees
Sites, in units of the cell vectors:
Pr: 0.0000 0.0000 0.0000
Pr: 0.1015 0.4181 0.3437
Pr: 0.3437 0.1015 0.4181
Pr: 0.4181 0.3437 0.1015
Pr: 0.5819 0.6563 0.8985
Pr: 0.6563 0.8985 0.5819
Pr: 0.8985 0.5819 0.6563
Er: 0.0025 0.8845 0.3636
Er: 0.1155 0.6364 0.9975
Er: 0.2283 0.3565 0.7510
Er: 0.2490 0.7717 0.6435
Er: 0.3565 0.7510 0.2283
Er: 0.3636 0.0025 0.8845
Er: 0.6364 0.9975 0.1155
Er: 0.6435 0.2490 0.7717
Er: 0.7510 0.2283 0.3565
Er: 0.7717 0.6435 0.2490
Er: 0.8845 0.3636 0.0025
Er: 0.9975 0.1155 0.6364
Tm: 0.5000 0.5000 0.5000

Values from the calculation:
Volume: 33.6 Å³ per atom
Crystal system: trigonal
Symmetry: R-3 (148)
Spin magnetization: 0.00 μB per atom

=====

Least stable: #P